No. 1
First-principles (PBEsol) data for crystalline ZrGeSbTe2 at its relaxed geometry, as listed in the Alexandria database.

extended XYZ file:
```
5
Lattice="5.228 0.000 0.000 0.000 5.228 0.000 0.000 0.000 5.120" Properties=species:S:1:pos:R:3 pbc="T T T"
Zr 0.000 0.000 0.000
Ge 2.614 2.614 2.560
Sb 2.614 2.614 0.000
Te 0.000 2.614 2.560
Te 2.614 0.000 2.560
```

Calculated values
Total moment, Bohr magnetons per cell: 0.397
Formation energy without anion corrections, eV per atom: 0.545

No. 2
First-principles (PBEsol) data for crystalline Zn5Ni4 at its relaxed geometry, as listed in the Alexandria database.

extended XYZ file:
```
9
Lattice="-3.787 3.787 1.846 3.787 -3.787 1.846 3.787 3.787 -1.846" Properties=species:S:1:pos:R:3 pbc="T T T"
Zn 0.000 0.000 0.000
Zn 2.492 2.492 0.000
Zn 1.295 -1.295 1.846
Zn -1.295 1.295 1.846
Zn 1.295 1.295 1.846
Ni 2.552 0.000 0.000
Ni 5.022 0.000 0.000
Ni 0.000 2.552 0.000
Ni 0.000 5.022 0.000
```

Calculated values
Energy of formation from the pure elements, eV/atom: -0.179
Total moment, Bohr magnetons per cell: 0.002
Energy relative to the lowest polymorph listed for this composition, meV/atom: 0